Entry 1:
A relaxed Ce3YIn4Au8 crystal. Source: the Alexandria database, functional PBEsol.

Results
final energy: -5.01 eV/atom
ΔH_f (0 K): -61.8 kJ per mole of atoms
space group: R-3m, No. 166

Unit cell a=16.349 b=16.349 c=16.349 alpha=17.27 beta=17.27 gamma=17.27
Fractional positions:
Ce 0.000 0.000 0.000
Ce 0.250 0.250 0.250
Ce 0.750 0.750 0.750
Y 0.500 0.500 0.500
In 0.125 0.125 0.125
In 0.375 0.375 0.375
In 0.625 0.625 0.625
In 0.875 0.875 0.875
Au 0.063 0.063 0.063
Au 0.186 0.186 0.186
Au 0.312 0.312 0.312
Au 0.439 0.439 0.439
Au 0.561 0.561 0.561
Au 0.688 0.688 0.688
Au 0.814 0.814 0.814
Au 0.937 0.937 0.937

=====

Entry 2:
A relaxed CeMgAu crystal. Source: the Alexandria database, functional PBEsol.

Results
final energy: -4.57 eV/atom
ΔH_f (0 K): -47.7 kJ per mole of atoms
space group: P-62m, No. 189

Unit cell a=7.580 b=7.580 c=4.135 alpha=90.00 beta=90.00 gamma=120.00
Fractional positions:
Ce 0.000 0.583 0.000
Ce 0.417 0.417 0.000
Ce 0.583 0.000 0.000
Mg 0.000 0.243 0.500
Mg 0.243 0.000 0.500
Mg 0.757 0.757 0.500
Au 0.000 0.000 0.000
Au 0.333 0.667 0.500
Au 0.667 0.333 0.500

=====

Entry 3:
A relaxed Ce2P3Au crystal. Source: the Alexandria database, functional PBEsol.

Results
final energy: -6.80 eV/atom
ΔH_f (0 K): -101.1 kJ per mole of atoms
space group: Pnma, No. 62

Unit cell a=7.556 b=4.074 c=15.505 alpha=90.00 beta=90.00 gamma=90.00
Fractional positions:
Ce 0.108 0.250 0.203
Ce 0.241 0.250 0.466
Ce 0.259 0.750 0.966
Ce 0.392 0.750 0.703
Ce 0.608 0.250 0.297
Ce 0.741 0.250 0.034
Ce 0.759 0.750 0.534
Ce 0.892 0.750 0.797
P 0.021 0.250 0.910
P 0.120 0.750 0.581
P 0.204 0.250 0.801
P 0.296 0.750 0.301
P 0.380 0.250 0.081
P 0.479 0.750 0.410
P 0.521 0.250 0.590
P 0.620 0.750 0.919
P 0.704 0.250 0.699
P 0.796 0.750 0.199
P 0.880 0.250 0.419
P 0.979 0.750 0.090
Au 0.027 0.250 0.654
Au 0.473 0.750 0.154
Au 0.527 0.250 0.846
Au 0.973 0.750 0.346

=====

no.,total magnetization (μB per cell)
1,1.38
2,1.52
3,4.64